A plane-wave DFT calculation with PBE was carried out for a relaxed structure of TaNiPt2.

Results
The density of states at the Fermi level is 1.72 states/eV per cell. For the energy relative to the elements, the calculation gives -1.78 eV/f.u. The magnetization is 0.00 μB per atom.

```
data_TaNiPt2
_chemical_formula_sum 'Ta1 Ni1 Pt2'
_symmetry_space_group_name_H-M 'P 4 m m'
_symmetry_Int_Tables_number 99
_symmetry_space_group_name_Hall 'P 4 -2'
_cell_length_a 3.343
_cell_length_b 3.343
_cell_length_c 5.469
_cell_angle_alpha 90.00
_cell_angle_beta 90.00
_cell_angle_gamma 90.00
loop_
_atom_site_label
_atom_site_type_symbol
_atom_site_fract_x
_atom_site_fract_y
_atom_site_fract_z
Ta1 Ta 0.000 0.000 0.000
Ni1 Ni 0.500 0.500 0.237
Pt1 Pt 0.000 0.000 0.465
Pt2 Pt 0.500 0.500 0.749
```

***

A plane-wave DFT calculation with PBE was carried out for a relaxed structure of Li5Ag3Pb.

Results
The density of states at the Fermi level is 8.46 states/eV per cell. For the energy relative to the elements, the calculation gives -0.30 eV/f.u. The magnetization is 0.00 μB per atom.

```
data_Li5Ag3Pb
_chemical_formula_sum 'Li20 Ag12 Pb4'
_symmetry_space_group_name_H-M 'C 1 2/m 1'
_symmetry_Int_Tables_number 12
_symmetry_space_group_name_Hall '-C 2y'
_cell_length_a 15.341
_cell_length_b 6.686
_cell_length_c 7.853
_cell_angle_alpha 90.00
_cell_angle_beta 116.11
_cell_angle_gamma 90.00
loop_
_atom_site_label
_atom_site_type_symbol
_atom_site_fract_x
_atom_site_fract_y
_atom_site_fract_z
Li1 Li 0.000 0.164 0.000
Li2 Li 0.158 0.500 0.975
Li3 Li 0.164 0.227 0.675
Li4 Li 0.174 0.000 0.335
Ag1 Ag 0.000 0.500 0.000
Ag2 Ag 0.000 0.500 0.500
Ag3 Ag 0.004 0.000 0.330
Ag4 Ag 0.170 0.000 0.999
Pb1 Pb 0.150 0.500 0.357
```